Here is an optimized crystal structure of Ho8TlSn2 from Alexandria. Energies are from PBE.

Summary:
space-group type	C2/m, No. 12
E_form	-0.296	eV per atom

The structure in POSCAR format:
```
Ho8TlSn2
1.0
5.053 0.000 0.000
0.000 6.819 0.232
-2.526 -2.620 9.332
Ho Tl Sn
8 1 2
direct
0.407 0.522 0.815 Ho
0.658 0.000 0.317 Ho
0.785 0.675 0.570 Ho
0.978 0.237 0.956 Ho
0.215 0.325 0.430 Ho
0.342 0.000 0.683 Ho
0.593 0.478 0.185 Ho
0.022 0.763 0.044 Ho
0.500 0.000 0.000 Tl
0.818 0.241 0.637 Sn
0.182 0.759 0.363 Sn
```

Here is an optimized crystal structure of Dy6HoZr from Alexandria. Energies are from PBE.

Summary:
space-group type	P-1, No. 2
E_form	0.243	eV per atom

The structure in POSCAR format:
```
Dy6HoZr
1.0
-2.147 5.804 -2.532
-5.789 -1.420 2.247
1.414 6.106 3.071
Dy Ho Zr
6 1 1
direct
0.082 0.745 0.514 Dy
0.561 0.775 0.536 Dy
0.439 0.225 0.464 Dy
0.918 0.255 0.486 Dy
0.544 0.757 0.012 Dy
0.456 0.243 0.988 Dy
0.000 0.500 0.000 Ho
0.000 0.000 0.000 Zr
```

Here is an optimized crystal structure of SnBiIr3 from Alexandria. Energies are from PBE.

Summary:
space-group type	Pm-3m, No. 221
E_form	1.415	eV per atom
polymorph energy (0 for the lowest one)	0.000	eV/atom

The structure in POSCAR format:
```
SnBiIr3
1.0
-1.631 1.057 4.491
-4.595 0.061 -1.683
-0.420 -4.778 0.972
Ir Bi Sn
3 1 1
direct
0.000 0.500 0.000 Ir
0.000 0.000 0.500 Ir
0.500 0.000 0.000 Ir
0.500 0.500 0.500 Bi
0.000 0.000 0.000 Sn
```

Here is an optimized crystal structure of Tm3Be2Si3 from Alexandria. Energies are from PBE.

Summary:
formation energy from raw total energies	-53.6	kJ per mole of atoms
space-group type	Cmcm, No. 63
polymorph energy (0 for the lowest one)	0.053	eV/atom

The structure in POSCAR format:
```
Tm3Be2Si3
1.0
3.943 0.000 0.000
-1.972 5.192 0.000
0.000 0.000 13.665
Tm Be Si
6 4 6
direct
0.931 0.862 0.390 Tm
0.069 0.138 0.890 Tm
0.931 0.862 0.110 Tm
0.069 0.138 0.610 Tm
0.643 0.286 0.250 Tm
0.357 0.714 0.750 Tm
0.774 0.548 0.896 Be
0.226 0.452 0.396 Be
0.774 0.548 0.604 Be
0.226 0.452 0.104 Be
0.643 0.287 0.458 Si
0.357 0.713 0.958 Si
0.643 0.287 0.042 Si
0.357 0.713 0.542 Si
0.350 0.700 0.250 Si
0.650 0.300 0.750 Si
```

Here is an optimized crystal structure of CaBeCl2 from Alexandria. Energies are from PBE.

Summary:
formation energy from raw total energies	-55.5	kJ per mole of atoms
space-group type	R-3m, No. 166
polymorph energy (0 for the lowest one)	0.476	eV/atom

The structure in POSCAR format:
```
CaBeCl2
1.0
2.008 0.000 9.190
-1.004 1.739 9.190
-1.004 -1.739 9.190
Be Ca Cl
1 1 2
direct
0.500 0.500 0.500 Be
0.000 0.000 0.000 Ca
0.878 0.878 0.878 Cl
0.122 0.122 0.122 Cl
```